This record from the Alexandria database describes an optimized crystal structure of ReH3W. The functional is GGA-PBE.

The offset from the most stable computed form is 0.59 eV per formula unit. Its theoretical density is 14.97 g/cm3.

The structure belongs to space group Pm-3m (No. 221); the cell edges are 3.459, 3.459 and 3.459 Å and the angles 90.00°, 90.00° and 90.00°. The asymmetric unit holds Re at (0.000, 0.000, 0.000), H at (0.000, 0.500, 0.500) and W at (0.500, 0.500, 0.500).


This record from the Alexandria database describes an optimized crystal structure of ReHW3. The functional is GGA-PBE.

The offset from the most stable computed form is 0.00 eV per formula unit. Its theoretical density is 18.60 g/cm3.

The structure belongs to space group Pm-3m (No. 221); the cell edges are 4.040, 4.040 and 4.040 Å and the angles 90.00°, 90.00° and 90.00°. The asymmetric unit holds Re at (0.000, 0.000, 0.000), H at (0.500, 0.500, 0.500) and W at (0.000, 0.500, 0.500).


This record from the Alexandria database describes an optimized crystal structure of ReH3W. The functional is GGA-PBE.

The offset from the most stable computed form is 0.00 eV per formula unit. Its theoretical density is 15.07 g/cm3.

The structure belongs to space group Pm-3m (No. 221); the cell edges are 3.451, 3.451 and 3.451 Å and the angles 90.00°, 90.00° and 90.00°. The asymmetric unit holds Re at (0.000, 0.000, 0.000), H at (0.000, 0.000, 0.500) and W at (0.500, 0.500, 0.500).


This record from the Alexandria database describes an optimized crystal structure of Re2H2W. The functional is GGA-PBE.

The total energy is -43.25 eV/f.u. Its theoretical density is 17.77 g/cm3.

The structure belongs to space group I4/mmm (No. 139); the cell edges are 2.900, 2.900 and 12.401 Å and the angles 90.00°, 90.00° and 90.00°. The asymmetric unit holds Re at (0.000, 0.000, 0.148), H at (0.000, 0.500, 0.250) and W at (0.000, 0.000, 0.500).


This record from the Alexandria database describes an optimized crystal structure of ReH2W2. The functional is GGA-PBE.

The total energy is -44.29 eV/f.u. Its theoretical density is 17.46 g/cm3.

The structure belongs to space group I4/mmm (No. 139); the cell edges are 2.924, 2.924 and 12.366 Å and the angles 90.00°, 90.00° and 90.00°. The asymmetric unit holds Re at (0.000, 0.000, 0.000), H at (0.000, 0.500, 0.250) and W at (0.000, 0.000, 0.353).


This record from the Alexandria database describes an optimized crystal structure of YRe2H. The functional is GGA-PBE.

The offset from the most stable computed form is 6.33 eV per formula unit. Its theoretical density is 12.06 g/cm3.

The structure belongs to space group Fm-3m (No. 225); the cell edges are 6.339, 6.339 and 6.339 Å and the angles 90.00°, 90.00° and 90.00°. The asymmetric unit holds Y at (0.000, 0.000, 0.000), Re at (0.250, 0.250, 0.250) and H at (0.000, 0.000, 0.500).


This record from the Alexandria database describes an optimized crystal structure of YReH2. The functional is GGA-PBE.

The offset from the most stable computed form is 0.00 eV per formula unit. Its theoretical density is 9.47 g/cm3.

The structure belongs to space group I-42d (No. 122); the cell edges are 4.332, 4.332 and 10.360 Å and the angles 90.00°, 90.00° and 90.00°. The asymmetric unit holds Y at (0.000, 0.000, 0.000), Re at (0.000, 0.000, 0.500) and H at (0.161, 0.250, 0.625).


This record from the Alexandria database describes an optimized crystal structure of Y2ReH. The functional is GGA-PBE.

The offset from the most stable computed form is 0.00 eV per formula unit. Its theoretical density is 7.85 g/cm3.

The structure belongs to space group Fm-3m (No. 225); the cell edges are 6.760, 6.760 and 6.760 Å and the angles 90.00°, 90.00° and 90.00°. The asymmetric unit holds Y at (0.250, 0.250, 0.250), Re at (0.000, 0.000, 0.000) and H at (0.000, 0.000, 0.500).


Number 3 is which compound?
ReH3W


Number 4 is which compound?
Re2H2W


The lowest theoretical density belongs to which entry?
Y2ReH